# TaTl2Cr | Alexandria | meta-GGA SCAN | single point on PBEsol structure
# electronic total energy	-227.505	eV per cell
# energy of formation	545	meV/atom
# crystal system	orthorhombic
# SG	Cmmm (65)
data_TaTl2Cr
_chemical_formula_sum 'Ta1 Tl2 Cr1'
_cell_length_a 5.206
_cell_length_b 5.206
_cell_length_c 3.026
_cell_angle_alpha 90.00
_cell_angle_beta 90.00
_cell_angle_gamma 110.18
_space_group_name_H-M_alt 'P 1'
_space_group_IT_number 1
loop_
_space_group_symop_operation_xyz
'x,y,z'
loop_
_atom_site_label
_atom_site_type_symbol
_atom_site_fract_x
_atom_site_fract_y
_atom_site_fract_z
Ta1 Ta 0.000 0.000 0.000
Tl1 Tl 0.000 0.500 0.500
Tl2 Tl 0.500 0.000 0.500
Cr1 Cr 0.500 0.500 0.000